Model A:
SiSbCl2 PBEsol optimized geometry; symmetry = Pmmm (47); crystal system = orthorhombic; ρ = 4.4 g cm⁻³
1.0
-1.2861 0.3876 -2.9613
4.1551 -0.5126 -1.8717
-0.8311 -5.4500 -0.3524
Sb Si Cl
1 1 2
Cartesian
1.4345 -0.0625 -2.4165 Sb
1.6620 -2.9813 -1.1120 Si
0.0000 0.0000 0.0000 Cl
-1.0586 -2.5312 -1.6568 Cl

---

Model B:
SiSbCl2 PBEsol optimized geometry; symmetry = R3m (160); crystal system = trigonal; ρ = 4.2 g cm⁻³
1.0
3.3104 0.0000 0.0000
1.6552 2.8669 0.0000
1.6552 0.9556 9.1605
Sb Si Cl
1 1 2
Cartesian
3.3104 1.9113 4.5007 Sb
1.6552 0.9556 2.1670 Si
4.9657 2.8669 0.4689 Cl
4.9657 2.8669 6.6040 Cl

---

Model C:
SiSbCl2 PBEsol optimized geometry; symmetry = Pmmm (47); crystal system = orthorhombic; ρ = 4.5 g cm⁻³
1.0
3.1021 0.0000 0.0000
0.0000 4.3893 0.0000
0.0000 0.0000 6.0396
Sb Si Cl
1 1 2
Cartesian
1.5510 2.1947 0.0000 Sb
1.5510 2.1947 3.0198 Si
0.0000 0.0000 4.5061 Cl
0.0000 0.0000 1.5335 Cl

---

model B (48 meV per atom below the next structure)

---

Model A:
TcSb2Cl PBEsol optimized geometry; symmetry = Cmm2 (35); crystal system = orthorhombic; ρ = 7.2 g cm⁻³
1.0
3.0422 0.0000 0.0000
-1.5211 2.7129 0.0000
0.0000 0.0000 10.5953
Sb Tc Cl
2 1 1
Cartesian
0.0000 0.0000 10.4923 Sb
1.5211 0.0000 3.1861 Sb
0.0000 0.0000 5.5152 Tc
1.5211 0.0000 7.2946 Cl

---

Model B:
TcSb2Cl PBEsol optimized geometry; symmetry = C2/m (12); crystal system = monoclinic; ρ = 7.6 g cm⁻³
1.0
-1.4262 -2.5850 -0.9840
1.6505 -4.0502 3.1573
-4.7257 -0.3132 2.5820
Sb Tc Cl
2 1 1
Cartesian
0.8252 -2.0251 1.5787 Sb
-2.3628 -0.1566 1.2910 Sb
-1.5376 -2.1817 2.8697 Tc
0.0000 0.0000 0.0000 Cl

---

model B (55 meV per atom below the next structure)